Record 1
# SiClF3

A relaxed SiClF3 crystal (PBE, the Alexandria database).

The energy above the most stable polymorph in this dataset comes out at 29.78 kcal/mol of atoms. As for the final energy: -3.941 eV per atom. The value obtained for the raw formation energy is -1.36 eV per atom. The density of states at the Fermi level comes out at 4.91 states/eV per cell.

Lattice parameters (Å, degrees): 3.8898 3.8898 3.8898 90.00 90.00 90.00
With the nearest neighbours (Å) after each atom.
Space group Pm-3m (No. 221)
Inequivalent atoms, fractional coordinates:
Si1 0.0000 0.0000 0.0000 x1  6 F 1.94
Cl1 0.5000 0.5000 0.5000 x1  12 F 2.75
F1 0.0000 0.0000 0.5000 x3  2 Si 1.94

Record 2
# SiClF3

A relaxed SiClF3 crystal (PBE, the Alexandria database).

The energy above the most stable polymorph in this dataset comes out at 0.32 kcal/mol of atoms. As for the final energy: -5.219 eV per atom. The value obtained for the raw formation energy is -2.64 eV per atom. The density of states at the Fermi level comes out at 0.00 states/eV per cell.

Lattice parameters (Å, degrees): 7.2953 7.2953 13.9044 90.00 90.00 120.00
With the nearest neighbours (Å) after each atom.
Space group R-3m (No. 166, hexagonal axes)
Inequivalent atoms, fractional coordinates:
Si1 0.0000 0.0000 0.1590 x6  3 F 1.59
Cl1 0.0000 0.0000 0.3026 x6  1 Si 2.00
F1 0.0991 0.5495 0.7839 x18  1 Si 1.59

Record 3
# SiCl3F

A relaxed SiCl3F crystal (PBE, the Alexandria database).

The energy above the most stable polymorph in this dataset comes out at 50.13 kcal/mol of atoms. As for the final energy: -2.109 eV per atom. The value obtained for the raw formation energy is 0.46 eV per atom. The density of states at the Fermi level comes out at 2.47 states/eV per cell.

Lattice parameters (Å, degrees): 4.6728 4.6728 4.6728 90.00 90.00 90.00
With the nearest neighbours (Å) after each atom.
Space group Pm-3m (No. 221)
Inequivalent atoms, fractional coordinates:
Si1 0.0000 0.0000 0.0000 x1  12 Cl 3.30
Cl1 0.0000 0.5000 0.5000 x3  2 F 2.34
F1 0.5000 0.5000 0.5000 x1  6 Cl 2.34

Record 4
# SiClF2

A relaxed SiClF2 crystal (PBE, the Alexandria database).

The energy above the most stable polymorph in this dataset comes out at 19.18 kcal/mol of atoms. As for the final energy: -3.202 eV per atom. The value obtained for the raw formation energy is -0.45 eV per atom. The density of states at the Fermi level comes out at 13.93 states/eV per cell.

Lattice parameters (Å, degrees): 6.0398 6.0398 6.0398 90.00 90.00 90.00
With the nearest neighbours (Å) after each atom.
Space group Fm-3m (No. 225)
Inequivalent atoms, fractional coordinates:
Si1 0.0000 0.0000 0.0000 x4  8 F 2.62
Cl1 0.0000 0.0000 0.5000 x4  8 F 2.62
F1 0.2500 0.2500 0.2500 x8  4 Cl 2.62, 4 Si 2.62

Record 5
# SiClF2

A relaxed SiClF2 crystal (PBE, the Alexandria database).

The energy above the most stable polymorph in this dataset comes out at 7.49 kcal/mol of atoms. As for the final energy: -3.709 eV per atom. The value obtained for the raw formation energy is -0.96 eV per atom. The density of states at the Fermi level comes out at 6.74 states/eV per cell.

Lattice parameters (Å, degrees): 3.4222 3.4222 25.7253 90.00 90.00 120.00
With the nearest neighbours (Å) after each atom.
Space group R-3m (No. 166, hexagonal axes)
Inequivalent atoms, fractional coordinates:
Si1 0.0000 0.0000 0.0000 x3  6 F 2.17
Cl1 0.0000 0.0000 0.5000 x3  2 F 3.38, 6 Cl 3.42
F1 0.0000 0.0000 0.3686 x6  3 Si 2.17

Record 6
# Si2ClF

A relaxed Si2ClF crystal (PBE, the Alexandria database).

The energy above the most stable polymorph in this dataset comes out at 12.09 kcal/mol of atoms. As for the final energy: -3.427 eV per atom. The value obtained for the raw formation energy is 0.21 eV per atom. The density of states at the Fermi level comes out at 13.86 states/eV per cell.

Lattice parameters (Å, degrees): 6.4258 6.4258 6.4258 90.00 90.00 90.00
With the nearest neighbours (Å) after each atom.
Space group Fm-3m (No. 225)
Inequivalent atoms, fractional coordinates:
Si1 0.2500 0.2500 0.2500 x8  4 F 2.78, 4 Cl 2.78
Cl1 0.0000 0.0000 0.0000 x4  8 Si 2.78
F1 0.0000 0.0000 0.5000 x4  8 Si 2.78

Record 7
# SiClF2

A relaxed SiClF2 crystal (PBE, the Alexandria database).

The energy above the most stable polymorph in this dataset comes out at 0.79 kcal/mol of atoms. As for the final energy: -3.999 eV per atom. The value obtained for the raw formation energy is -1.25 eV per atom. The density of states at the Fermi level comes out at 0.95 states/eV per cell.

Lattice parameters (Å, degrees): 5.8487 5.8487 8.7645 90.00 90.00 90.00
With the nearest neighbours (Å) after each atom.
Space group I4_1/amd (No. 141, origin choice 2)
Inequivalent atoms, fractional coordinates:
Si1 0.0000 0.2500 0.3750 x4  4 F 1.83
Cl1 0.0000 0.2500 0.8750 x4  12 F 3.45-3.60, 4 Si 3.65, 4 Cl 3.65
F1 0.0000 0.0000 0.5000 x8  2 Si 1.83

Record 8
# SiClF3

A relaxed SiClF3 crystal (PBE, the Alexandria database).

The energy above the most stable polymorph in this dataset comes out at 0.00 kcal/mol of atoms. As for the final energy: -5.233 eV per atom. The value obtained for the raw formation energy is -2.66 eV per atom. The density of states at the Fermi level comes out at 0.00 states/eV per cell.

Lattice parameters (Å, degrees): 5.0183 6.1322 7.1172 90.97 90.04 90.07
With the nearest neighbours (Å) after each atom.
Space group P1 (No. 1)
Inequivalent atoms, fractional coordinates:
Si1 0.0000 0.0000 0.0000 x1  3 F 1.59
Si2 0.5000 0.4682 0.5473 x1  3 F 1.59
Cl1 0.3890 0.1603 0.4877 x1  1 Si 2.01
Cl2 0.8906 0.3081 0.0593 x1  1 Si 2.01
F1 0.3160 0.9826 0.9938 x1  1 Si 1.59
F2 0.3887 0.5440 0.7468 x1  1 Si 1.59
F3 0.3935 0.6302 0.3929 x1  1 Si 1.59
F4 0.8161 0.4851 0.5533 x1  1 Si 1.59
F5 0.8876 0.9239 0.8008 x1  1 Si 1.59
F6 0.8935 0.8384 0.1549 x1  1 Si 1.59